Computed, not measured: crystalline Ca4Sm3S8 at its relaxed geometry at the GGA-PBE level of DFT.

Summary:
The raw formation energy comes out at -2068.3 meV per atom. Its space group is No. 12. The size of the total moment is 0.00 μB per atom.

Geometry as POSCAR:
```
Ca4Sm3S8
1.0
-4.433 2.249 -6.323
-0.203 -7.623 2.596
-1.915 2.525 7.406
S Sm Ca
8 3 4
direct
0.994 0.752 0.752
0.503 0.750 0.750
0.006 0.248 0.248
0.500 0.750 0.250
0.497 0.250 0.250
0.000 0.247 0.753
0.500 0.250 0.750
0.000 0.753 0.247
0.500 0.500 0.000
0.500 0.500 0.500
0.500 0.000 0.500
0.000 0.000 0.000
0.500 0.000 0.000
0.000 0.000 0.500
0.000 0.500 0.000
```